1.
CaEr2Tm (GGA-PBE, optimized geometry); E = -14.859 eV/f.u.; density of states at the Fermi level = 7.9 states/eV/f.u.; distance to the lowest polymorph of the same formula = 112.7 meV per atom; E_form = 185 meV per atom
1.0
5.686 0.000 0.000
2.843 4.924 0.000
2.843 1.641 4.643
Er Tm Ca
2 1 1
Cartesian
2.843 1.641 1.161
8.529 4.924 3.482
0.000 0.000 0.000
5.686 3.283 2.321

2.
CaEr6Tm2 (GGA-PBE, optimized geometry); E = -37.962 eV/f.u.; density of states at the Fermi level = 14.8 states/eV/f.u.; E_form = 40 meV per atom
1.0
-0.137 -6.212 -0.486
9.125 -0.163 -0.300
3.931 -3.978 9.562
Er Ca Tm
12 2 4
Cartesian
6.616 -1.466 3.034
2.288 -4.169 -0.399
9.745 -2.450 1.822
10.630 -6.183 9.175
3.174 -7.902 6.954
10.912 -4.851 5.908
6.303 -8.887 5.742
9.173 -9.175 7.835
8.004 -4.642 3.891
4.914 -5.711 4.885
3.746 -1.178 0.941
2.006 -5.502 2.869
4.741 -4.967 8.332
8.178 -5.386 0.445
9.410 -7.855 4.640
7.862 -5.949 7.043
5.057 -4.404 1.733
3.509 -2.498 4.137

3.
CaEr14Tm (GGA-PBE, optimized geometry); E = -69.963 eV/f.u.; density of states at the Fermi level = 26.8 states/eV/f.u.; E_form = 24 meV per atom
1.0
-4.291 -1.078 -5.665
-0.724 -4.069 5.881
-7.335 7.322 4.162
Er Tm Ca
14 1 1
Cartesian
-5.935 -1.768 0.270
-9.173 3.890 -0.662
-3.396 0.837 0.161
-3.721 -1.266 3.059
-7.132 -0.448 3.204
-9.541 1.831 2.316
-5.569 0.292 -2.707
-7.002 4.436 2.207
-7.439 2.445 5.169
-4.624 2.126 3.096
-3.461 -4.108 1.127
-4.986 0.091 6.037
-0.957 -1.538 1.020
-6.770 1.587 0.263
-1.319 -3.570 3.956
-3.102 -2.075 -1.816

4.
CaEr2Tm (GGA-PBE, optimized geometry); E = -15.269 eV/f.u.; density of states at the Fermi level = 5.8 states/eV/f.u.; distance to the lowest polymorph of the same formula = 10.0 meV per atom; E_form = 82 meV per atom
1.0
-0.746 3.241 1.303
-0.788 -1.454 3.166
9.804 1.078 2.936
Tm Er Ca
1 2 1
Cartesian
-0.767 0.893 2.234
2.236 0.246 0.669
7.568 0.832 2.267
4.135 1.432 3.702